Record 1
# Ho2Cd3Pd4, optimized geometry, DFT PBE-GGA
# Theoretical density (g/cm3): 10.4
# E (eV per atom): -4.270
# DFT formation energy (eV per atom): -0.640
data_Ho2Cd3Pd4
_chemical_formula_sum 'Ho4 Cd6 Pd8'
_cell_length_a 8.781
_cell_length_b 4.483
_cell_length_c 8.972
_cell_angle_alpha 90.00
_cell_angle_beta 99.01
_cell_angle_gamma 90.00
_space_group_name_H-M_alt 'C 1 2/m 1'
_space_group_IT_number 12
_space_group_name_Hall '-C 2y'
loop_
_atom_site_label
_atom_site_fract_x
_atom_site_fract_y
_atom_site_fract_z
_atom_site_occupancy
Ho1 0.173 0.000 0.216 1
Cd1 0.000 0.500 0.000 1
Cd2 0.158 0.000 0.568 1
Pd1 0.011 0.500 0.336 1
Pd2 0.163 0.000 0.891 1

Record 2
# TiSb2TeCl, optimized geometry, DFT PBE-GGA
# Uncorrected formation energy (meV per atom): -88.0
# Theoretical density (g/cm3): 5.2
# E (eV per atom): -4.314
data_TiSb2TeCl
_chemical_formula_sum 'Ti1 Sb2 Te1 Cl1'
_cell_length_a 5.280
_cell_length_b 5.280
_cell_length_c 5.181
_cell_angle_alpha 90.00
_cell_angle_beta 90.00
_cell_angle_gamma 90.00
_space_group_name_H-M_alt 'P 4/m m m'
_space_group_IT_number 123
_space_group_name_Hall '-P 4 2'
loop_
_atom_site_label
_atom_site_fract_x
_atom_site_fract_y
_atom_site_fract_z
_atom_site_occupancy
Ti1 0.000 0.000 0.000 1
Sb1 0.000 0.500 0.000 1
Te1 0.000 0.000 0.500 1
Cl1 0.500 0.500 0.500 1

Record 3
# GaBS2N, optimized geometry, DFT PBE-GGA
# Uncorrected formation energy (meV per atom): 257.2
# Theoretical density (g/cm3): 2.8
# E (eV per atom): -5.000
data_GaBS2N
_chemical_formula_sum 'Ga1 B1 S2 N1'
_cell_length_a 6.035
_cell_length_b 6.035
_cell_length_c 2.556
_cell_angle_alpha 90.00
_cell_angle_beta 90.00
_cell_angle_gamma 90.00
_space_group_name_H-M_alt 'P 4/m m m'
_space_group_IT_number 123
_space_group_name_Hall '-P 4 2'
loop_
_atom_site_label
_atom_site_fract_x
_atom_site_fract_y
_atom_site_fract_z
_atom_site_occupancy
Ga1 0.000 0.000 0.000 1
B1 0.500 0.500 0.500 1
S1 0.000 0.500 0.500 1
N1 0.500 0.500 0.000 1

Record 4
# Hf8Be2N3, optimized geometry, DFT PBE-GGA
# Uncorrected formation energy (meV per atom): -732.1
# Theoretical density (g/cm3): 12.0
# E (eV per atom): -9.352
data_Hf8Be2N3
_chemical_formula_sum 'Hf16 Be4 N6'
_cell_length_a 10.743
_cell_length_b 6.523
_cell_length_c 5.878
_cell_angle_alpha 90.00
_cell_angle_beta 91.76
_cell_angle_gamma 90.00
_space_group_name_H-M_alt 'C 1 2/m 1'
_space_group_IT_number 12
_space_group_name_Hall '-C 2y'
loop_
_atom_site_label
_atom_site_fract_x
_atom_site_fract_y
_atom_site_fract_z
_atom_site_occupancy
Hf1 0.112 0.243 0.181 1
Hf2 0.118 0.000 0.668 1
Hf3 0.126 0.500 0.622 1
Be1 0.233 0.500 0.982 1
N1 0.000 0.000 0.000 1
N2 0.000 0.243 0.500 1

Record 5
# KThSn2Au2, optimized geometry, DFT PBE-GGA
# Theoretical density (g/cm3): 8.5
# E (eV per atom): -4.369
# DFT formation energy (eV per atom): -0.523
data_KThSn2Au2
_chemical_formula_sum 'K1 Th1 Sn2 Au2'
_cell_length_a 4.9019
_cell_length_b 4.9019
_cell_length_c 8.4427
_cell_angle_alpha 90.00
_cell_angle_beta 90.00
_cell_angle_gamma 120.00
_space_group_name_H-M_alt 'P -3 m 1'
_space_group_IT_number 164
_space_group_name_Hall '-P 3 2"'
loop_
_atom_site_label
_atom_site_fract_x
_atom_site_fract_y
_atom_site_fract_z
_atom_site_occupancy
K1 0.0000 0.0000 0.0000 1
Th1 0.0000 0.0000 0.5000 1
Sn1 0.3333 0.6667 0.7057 1
Au1 0.3333 0.6667 0.3256 1

Record 6
# Tb2Tl5Br12, optimized geometry, DFT PBE-GGA
# Uncorrected formation energy (meV per atom): -1218.0
# Theoretical density (g/cm3): 5.1
# E (eV per atom): -3.385
data_Tb2Tl5Br12
_chemical_formula_sum 'Tb4 Tl10 Br24'
_cell_length_a 17.932
_cell_length_b 8.440
_cell_length_c 10.398
_cell_angle_alpha 90.00
_cell_angle_beta 109.41
_cell_angle_gamma 90.00
_space_group_name_H-M_alt 'C 1 2/m 1'
_space_group_IT_number 12
_space_group_name_Hall '-C 2y'
loop_
_atom_site_label
_atom_site_fract_x
_atom_site_fract_y
_atom_site_fract_z
_atom_site_occupancy
Tb1 0.000 0.248 0.000 1
Tl1 0.000 0.500 0.500 1
Tl2 0.186 0.000 0.814 1
Tl3 0.218 0.000 0.376 1
Br1 0.003 0.500 0.185 1
Br2 0.006 0.000 0.192 1
Br3 0.131 0.258 0.556 1
Br4 0.163 0.236 0.084 1

Record 7
# Ba2IO4, optimized geometry, DFT PBE-GGA
# Uncorrected formation energy (meV per atom): -1649.4
# Theoretical density (g/cm3): 5.2
# E (eV per atom): -5.253
data_Ba2IO4
_chemical_formula_sum 'Ba4 I2 O8'
_cell_length_a 6.332
_cell_length_b 6.332
_cell_length_c 7.364
_cell_angle_alpha 90.00
_cell_angle_beta 90.00
_cell_angle_gamma 90.00
_space_group_name_H-M_alt 'I 4 m m'
_space_group_IT_number 107
_space_group_name_Hall 'I 4 -2'
loop_
_atom_site_label
_atom_site_fract_x
_atom_site_fract_y
_atom_site_fract_z
_atom_site_occupancy
Ba1 0.000 0.500 0.000 1
I1 0.000 0.000 0.237 1
O1 0.228 0.228 0.269 1

Record 8
# Pm6Sm12Er, optimized geometry, DFT PBE-GGA
# Theoretical density (g/cm3): 7.1
# E (eV per atom): -4.402
# DFT formation energy (eV per atom): 0.319
data_Pm6Sm12Er
_chemical_formula_sum 'Pm18 Sm36 Er3'
_cell_length_a 16.4474
_cell_length_b 16.4474
_cell_length_c 8.4953
_cell_angle_alpha 90.00
_cell_angle_beta 90.00
_cell_angle_gamma 120.00
_space_group_name_H-M_alt 'R -3 m'
_space_group_IT_number 166
_space_group_name_Hall '-R 3 2"'
loop_
_atom_site_label
_atom_site_fract_x
_atom_site_fract_y
_atom_site_fract_z
_atom_site_occupancy
Pm1 0.0840 0.1679 0.1468 1
Sm1 0.0000 0.3817 0.0000 1
Sm2 0.0926 0.5463 0.3142 1
Er1 0.0000 0.0000 0.5000 1

Record 9
# LiVP2, optimized geometry, DFT PBE-GGA
# Theoretical density (g/cm3): 3.7
# E (eV per atom): -5.693
# DFT formation energy (eV per atom): -0.230
data_LiVP2
_chemical_formula_sum 'Li4 V4 P8'
_cell_length_a 5.996
_cell_length_b 5.996
_cell_length_c 5.996
_cell_angle_alpha 90.00
_cell_angle_beta 90.00
_cell_angle_gamma 90.00
_space_group_name_H-M_alt 'F m -3 m'
_space_group_IT_number 225
_space_group_name_Hall '-F 4 2 3'
loop_
_atom_site_label
_atom_site_fract_x
_atom_site_fract_y
_atom_site_fract_z
_atom_site_occupancy
Li1 0.000 0.000 0.000 1
V1 0.000 0.000 0.500 1
P1 0.250 0.250 0.250 1

Record 10
# CaTm4PbS8, optimized geometry, DFT PBE-GGA
# Uncorrected formation energy (meV per atom): -1787.7
# Theoretical density (g/cm3): 5.2
# E (eV per atom): -5.832
data_CaTm4PbS8
_chemical_formula_sum 'Ca3 Tm12 Pb3 S24'
_cell_length_a 8.0388
_cell_length_b 8.0388
_cell_length_c 20.2258
_cell_angle_alpha 90.00
_cell_angle_beta 90.00
_cell_angle_gamma 120.00
_space_group_name_H-M_alt 'R 3 m'
_space_group_IT_number 160
_space_group_name_Hall 'R 3 -2"'
loop_
_atom_site_label
_atom_site_fract_x
_atom_site_fract_y
_atom_site_fract_z
_atom_site_occupancy
Ca1 0.0000 0.0000 0.0000 1
Tm1 0.0000 0.0000 0.7513 1
Tm2 0.0053 0.5026 0.8751 1
Pb1 0.0000 0.0000 0.3705 1
S1 0.0000 0.0000 0.1360 1
S2 0.0000 0.0000 0.6177 1
S3 0.0074 0.5037 0.1342 1
S4 0.1768 0.3535 0.9470 1

Record 11
# La4TcPCl2, optimized geometry, DFT PBE-GGA
# Uncorrected formation energy (meV per atom): -1218.8
# Theoretical density (g/cm3): 5.5
# E (eV per atom): -6.116
data_La4TcPCl2
_chemical_formula_sum 'La4 Tc1 P1 Cl2'
_cell_length_a 7.440
_cell_length_b 4.157
_cell_length_c 7.709
_cell_angle_alpha 90.00
_cell_angle_beta 106.26
_cell_angle_gamma 90.00
_space_group_name_H-M_alt 'P 1 2/m 1'
_space_group_IT_number 10
_space_group_name_Hall '-P 2y'
loop_
_atom_site_label
_atom_site_fract_x
_atom_site_fract_y
_atom_site_fract_z
_atom_site_occupancy
La1 0.231 0.000 0.215 1
La2 0.247 0.500 0.797 1
Tc1 0.000 0.500 0.000 1
P1 0.500 0.000 0.000 1
Cl1 0.000 0.000 0.500 1
Cl2 0.500 0.500 0.500 1

Record 12
# ZrBe2Cu2, optimized geometry, DFT PBE-GGA
# Theoretical density (g/cm3): 6.3
# E (eV per atom): -4.857
# DFT formation energy (eV per atom): -0.019
data_ZrBe2Cu2
_chemical_formula_sum 'Zr2 Be4 Cu4'
_cell_length_a 6.959
_cell_length_b 6.959
_cell_length_c 2.590
_cell_angle_alpha 90.00
_cell_angle_beta 90.00
_cell_angle_gamma 90.00
_space_group_name_H-M_alt 'P 4/m b m'
_space_group_IT_number 127
_space_group_name_Hall '-P 4 2ab'
loop_
_atom_site_label
_atom_site_fract_x
_atom_site_fract_y
_atom_site_fract_z
_atom_site_occupancy
Zr1 0.000 0.000 0.000 1
Be1 0.118 0.382 0.000 1
Cu1 0.169 0.669 0.500 1

Record 13
# K2CdTe, optimized geometry, DFT PBE-GGA
# Uncorrected formation energy (meV per atom): -367.2
# Theoretical density (g/cm3): 2.5
# E (eV per atom): -1.930
data_K2CdTe
_chemical_formula_sum 'K8 Cd4 Te4'
_cell_length_a 6.423
_cell_length_b 6.423
_cell_length_c 20.870
_cell_angle_alpha 90.00
_cell_angle_beta 90.00
_cell_angle_gamma 90.00
_space_group_name_H-M_alt 'I -4 2 d'
_space_group_IT_number 122
_space_group_name_Hall 'I -4 2bw'
loop_
_atom_site_label
_atom_site_fract_x
_atom_site_fract_y
_atom_site_fract_z
_atom_site_occupancy
K1 0.207 0.250 0.125 1
Cd1 0.000 0.000 0.500 1
Te1 0.000 0.000 0.000 1